# 1
ZnCoOs2: relaxed, GGA-PBE.

V	13.3	Å³ per atom
density of states at the Fermi level	5.9	states/eV/f.u.
energy	-7.445	eV/atom
space group	I-4m2, No. 119
total magnetic moment	0.81	μB per cell

a b c (Å): 4.5772 4.5772 4.5772
angles (deg): 131.27 131.27 71.39
Closest atoms and distances in Å follow each position.
Atoms (fractional coordinates):
Os: 0.2500 0.7500 0.5000  4 Os 2.65, 4 Zn 2.65, 4 Co 2.67
Os: 0.0000 0.0000 0.0000  4 Co 2.65, 4 Os 2.65, 4 Zn 2.67
Zn: 0.5000 0.5000 0.0000  4 Co 2.65, 8 Os 2.65-2.67
Co: 0.7500 0.2500 0.5000  8 Os 2.65-2.67, 4 Zn 2.65

***

# 2
ZrCo2Os: relaxed, GGA-PBE.

V	14.0	Å³ per atom
density of states at the Fermi level	4.9	states/eV/f.u.
energy	-8.568	eV/atom
space group	P4/mmm, No. 123
total magnetic moment	0.00	μB per cell
energy above the lowest structure with this stoichiometry	0.0	kJ per mole of atoms

a b c (Å): 3.8793 3.8793 3.7096
angles (deg): 90.00 90.00 90.00
Closest atoms and distances in Å follow each position.
Atoms (fractional coordinates):
Co: 0.0000 0.0000 0.0000  4 Os 2.68, 4 Zr 2.68, 4 Co 2.74
Os: 0.5000 0.0000 0.5000  8 Co 2.68, 4 Zr 2.74
Co: 0.5000 0.5000 0.0000  4 Zr 2.68, 4 Os 2.68, 4 Co 2.74
Zr: 0.0000 0.5000 0.5000  8 Co 2.68, 4 Os 2.74

***

# 3
ZrCo2Os: relaxed, GGA-PBE.

V	14.5	Å³ per atom
density of states at the Fermi level	5.9	states/eV/f.u.
energy	-8.149	eV/atom
space group	R-3m, No. 166
total magnetic moment	2.88	μB per cell
energy above the lowest structure with this stoichiometry	40.4	kJ per mole of atoms

a b c (Å): 9.0471 9.0471 9.0471
angles (deg): 17.46 17.46 17.46
Closest atoms and distances in Å follow each position.
Atoms (fractional coordinates):
Co: 0.5074 0.5074 0.5074  3 Os 2.57, 6 Co 2.75
Co: 0.9926 0.9926 0.9926  3 Os 2.57, 6 Co 2.75
Os: 0.2500 0.2500 0.2500  6 Co 2.57, 6 Os 2.75
Zr: 0.7500 0.7500 0.7500  6 Zr 2.75, 6 Co 2.90

***

# 4
ZrCoOs: relaxed, GGA-PBE.

V	15.5	Å³ per atom
density of states at the Fermi level	4.0	states/eV/f.u.
energy	-8.656	eV/atom
space group	P3m1, No. 156
total magnetic moment	1.08	μB per cell
energy above the lowest structure with this stoichiometry	65.0	kJ per mole of atoms

a b c (Å): 2.7826 2.7826 6.9564
angles (deg): 90.00 90.00 120.00
Closest atoms and distances in Å follow each position.
Atoms (fractional coordinates):
Zr: 0.3333 0.6667 0.6738  6 Zr 2.78, 3 Co 2.91, 3 Os 3.03
Os: 0.6667 0.3333 0.3039  3 Co 2.53, 6 Os 2.78
Co: 0.0000 0.0000 0.0223  3 Os 2.53, 6 Co 2.78

***

# 5
ZrCoOs: relaxed, GGA-PBE.

V	15.9	Å³ per atom
density of states at the Fermi level	3.7	states/eV/f.u.
energy	-8.943	eV/atom
space group	I4mm, No. 107
total magnetic moment	2.20	μB per cell
energy above the lowest structure with this stoichiometry	37.3	kJ per mole of atoms

a b c (Å): 5.0739 5.0739 5.0739
angles (deg): 142.69 142.69 53.79
Closest atoms and distances in Å follow each position.
Atoms (fractional coordinates):
Co: 0.9916 0.9916 0.0000  4 Os 2.67, 5 Zr 2.79-2.94
Zr: 0.6668 0.6668 0.0000  5 Os 2.79-2.94, 5 Co 2.79-2.94
Os: 0.3416 0.3416 0.0000  4 Co 2.67, 5 Zr 2.79-2.94

***

# 6
Zr2CoOs: relaxed, GGA-PBE.

V	17.3	Å³ per atom
density of states at the Fermi level	4.0	states/eV/f.u.
energy	-9.012	eV/atom
space group	Imm2, No. 44
total magnetic moment	1.38	μB per cell
energy above the lowest structure with this stoichiometry	25.7	kJ per mole of atoms

a b c (Å): 5.4663 5.4663 4.4953
angles (deg): 65.72 65.72 34.85
Closest atoms and distances in Å follow each position.
Atoms (fractional coordinates):
Zr: 0.0113 0.0113 0.9888  4 Co 2.79, 2 Os 2.83, 2 Zr 3.02
Co: 0.4901 0.4901 0.5101  2 Os 2.74, 6 Zr 2.79-2.88
Zr: 0.2422 0.2422 0.2577  4 Os 2.78, 2 Co 2.88, 2 Zr 3.02
Os: 0.7564 0.7564 0.7434  2 Co 2.74, 6 Zr 2.78-2.83

***

# 7
ZrCoOs: relaxed, GGA-PBE.

V	15.9	Å³ per atom
density of states at the Fermi level	3.7	states/eV/f.u.
energy	-9.134	eV/atom
space group	C2/m, No. 12
total magnetic moment	0.00	μB per cell
energy above the lowest structure with this stoichiometry	18.9	kJ per mole of atoms

a b c (Å): 6.6662 4.0102 9.3488
angles (deg): 90.00 130.21 90.00
Closest atoms and distances in Å follow each position.
Atoms (fractional coordinates):
Os: 0.9138 0.5000 0.3368  3 Co 2.42-2.57, 1 Os 2.47
Zr: 0.3197 0.0000 0.5653  5 Co 2.68-2.87, 3 Os 2.91-3.00
Co: 0.3069 0.5000 0.3458  1 Co 2.31, 3 Os 2.42-2.57
Co: 0.6931 0.0000 0.1542  1 Co 2.31, 3 Os 2.42-2.57
Zr: 0.6803 0.5000 0.9347  5 Co 2.68-2.87, 3 Os 2.91-3.00
Os: 0.0862 0.0000 0.1632  3 Co 2.42-2.57, 1 Os 2.47
Zr: 0.3197 0.5000 0.0653  5 Co 2.68-2.87, 3 Os 2.91-3.00
Os: 0.0862 0.5000 0.6632  3 Co 2.42-2.57, 1 Os 2.47
Os: 0.9138 0.0000 0.8368  3 Co 2.42-2.57, 1 Os 2.47
Zr: 0.6803 0.0000 0.4347  5 Co 2.68-2.87, 3 Os 2.91-3.00
Co: 0.6931 0.5000 0.6542  1 Co 2.31, 3 Os 2.42-2.57
Co: 0.3069 0.0000 0.8458  1 Co 2.31, 3 Os 2.42-2.57

***

# 8
ZrCoOs: relaxed, GGA-PBE.

V	15.9	Å³ per atom
density of states at the Fermi level	3.2	states/eV/f.u.
energy	-9.193	eV/atom
space group	C2/m, No. 12
total magnetic moment	2.19	μB per cell
energy above the lowest structure with this stoichiometry	13.2	kJ per mole of atoms

a b c (Å): 5.1426 4.1679 8.9430
angles (deg): 90.00 95.41 90.00
Closest atoms and distances in Å follow each position.
Atoms (fractional coordinates):
Os: 0.5000 0.0000 0.5000  4 Co 2.46, 2 Os 2.57
Zr: 0.7671 0.5000 0.3015  5 Co 2.61-2.82, 3 Os 2.91-2.92
Zr: 0.2329 0.5000 0.6985  5 Co 2.61-2.82, 3 Os 2.91-2.92
Co: 0.2848 0.0000 0.9112  4 Os 2.46-2.71, 1 Co 2.60, 2 Zr 2.61-2.75
Co: 0.7152 0.5000 0.5888  4 Os 2.46-2.71, 1 Co 2.60, 2 Zr 2.61-2.75
Co: 0.7152 0.0000 0.0888  4 Os 2.46-2.71, 1 Co 2.60, 2 Zr 2.61-2.75
Os: 0.0000 0.0000 0.5000  2 Os 2.57, 4 Co 2.71
Os: 0.5000 0.5000 0.0000  4 Co 2.46, 2 Os 2.57
Os: 0.0000 0.5000 0.0000  2 Os 2.57, 4 Co 2.71
Co: 0.2848 0.5000 0.4112  4 Os 2.46-2.71, 1 Co 2.60, 2 Zr 2.61-2.75
Zr: 0.7671 0.0000 0.8015  5 Co 2.61-2.82, 3 Os 2.91-2.92
Zr: 0.2329 0.0000 0.1985  5 Co 2.61-2.82, 3 Os 2.91-2.92